Record 1
DFT (PBEsol) results for a relaxed LiZr2Cl crystal.

Summary:
energy relative to the elements, uncorrected	0.5081	eV per atom
total moment	1.1	μB per formula unit
volume	77.5	Å³/cell
VASP energy	-5.030	eV/atom

Cell: 4.787 4.787 4.787 Å, 60.00 60.00 60.00°
Last column: magnetic moment on the atom in μB.
Sites, in units of the cell vectors:
1 Zr 0.000 0.000 0.000  0.44
2 Zr 0.250 0.250 0.250  0.31
3 Cl 0.500 0.500 0.500  0.01
4 Li 0.750 0.750 0.750  0.00


Record 2
DFT (PBEsol) results for a relaxed Fe8Cu crystal.

Summary:
total moment	18.2	μB per formula unit
E_form	110	meV/atom
volume	98.8	Å³/cell
VASP energy	-8.339	eV/atom

Cell: 2.838 6.069 6.069 Å, 86.87 76.48 76.48°
Last column: magnetic moment on the atom in μB.
Sites, in units of the cell vectors:
1 Fe 0.332 0.336 0.000  2.33
2 Fe 0.667 0.333 0.333  2.21
3 Fe 0.333 0.667 0.667  2.21
4 Fe 0.668 0.664 0.000  2.33
5 Fe 0.000 0.667 0.333  2.21
6 Fe 0.668 0.000 0.664  2.33
7 Fe 0.332 0.000 0.336  2.33
8 Fe 0.000 0.333 0.667  2.21
9 Cu 0.000 0.000 0.000  0.17


Record 3
DFT (PBEsol) results for a relaxed MgMn2Br crystal.

Summary:
energy relative to the elements, uncorrected	0.5790	eV per atom
total moment	7.4	μB per formula unit
volume	70.7	Å³/cell
VASP energy	-5.198	eV/atom

Cell: 3.921 3.921 5.367 Å, 111.43 111.43 90.00°
Last column: magnetic moment on the atom in μB.
Sites, in units of the cell vectors:
1 Mn 0.750 0.250 0.500  3.53
2 Mn 0.250 0.750 0.500  3.53
3 Br 0.500 0.500 0.000  0.07
4 Mg 0.000 0.000 0.000  -0.06


Record 4
DFT (PBEsol) results for a relaxed YSbTe2W crystal.

Summary:
energy relative to the elements, uncorrected	0.3710	eV per atom
total moment	0.0	μB per formula unit
volume	144.6	Å³/cell
VASP energy	-6.077	eV/atom

Cell: 5.183 5.282 5.282 Å, 90.00 90.00 90.00°
Sites, in units of the cell vectors:
1 Te 0.000 0.000 0.500
2 Te 0.000 0.500 0.000
3 Sb 0.500 0.000 0.000
4 Y 0.500 0.500 0.500
5 W 0.000 0.000 0.000